1.
Material: Na2InGeTe4
Method: DFT, PBE-GGA
State: optimized geometry

POSCAR file:
```
Na2InGeTe4
1.0
-0.346 6.372 -3.831
-6.256 2.907 5.401
6.687 3.792 5.705
In Na Te Ge
2 4 8 2
direct
0.997 0.147 0.500 In
0.497 0.853 0.000 In
0.485 0.333 0.253 Na
0.485 0.333 0.747 Na
0.985 0.667 0.247 Na
0.985 0.667 0.753 Na
0.905 0.312 0.748 Te
0.405 0.688 0.752 Te
0.852 0.849 0.500 Te
0.352 0.151 0.000 Te
0.379 0.123 0.500 Te
0.879 0.877 0.000 Te
0.905 0.312 0.252 Te
0.405 0.688 0.248 Te
0.991 0.168 0.000 Ge
0.491 0.832 0.500 Ge
```

Formation energy from raw total energies   -0.43 eV per atom
SG   Pmn2_1 (31)

=====

2.
Material: Na2InGeTe
Method: DFT, PBE-GGA
State: optimized geometry

POSCAR file:
```
Na2InGeTe
1.0
-3.613 4.037 -0.667
0.124 -0.823 -5.649
-4.090 -3.589 0.433
Ge Na In Te
1 2 1 1
direct
0.000 0.000 0.000 Ge
0.500 0.000 0.000 Na
0.000 0.000 0.500 Na
0.500 0.500 0.500 In
0.000 0.500 0.000 Te
```

Formation energy from raw total energies   0.11 eV per atom
SG   P4/mmm (123)

=====

3.
Material: NaZnInGe
Method: DFT, PBE-GGA
State: optimized geometry

POSCAR file:
```
NaZnInGe
1.0
-4.770 -1.082 -0.751
-1.411 -2.171 -4.217
-1.501 -4.715 0.026
Ge In Zn Na
1 1 1 1
direct
0.250 0.250 0.250 Ge
0.500 0.500 0.500 In
0.750 0.750 0.750 Zn
0.000 0.000 0.000 Na
```

Energy   -2.432 eV/atom
SG   F-43m (216)

=====

4.
Material: Na2Zn4InGe3
Method: DFT, PBE-GGA
State: optimized geometry

POSCAR file:
```
Na2Zn4InGe3
1.0
4.229 0.000 0.000
0.000 4.229 0.000
0.000 0.000 11.484
In Zn Ge Na
1 4 3 2
direct
0.500 0.500 0.500 In
0.000 0.000 0.000 Zn
0.000 0.500 0.346 Zn
0.500 0.000 0.654 Zn
0.500 0.500 0.000 Zn
0.000 0.000 0.500 Ge
0.000 0.500 0.132 Ge
0.500 0.000 0.868 Ge
0.000 0.500 0.764 Na
0.500 0.000 0.236 Na
```

Energy   -2.488 eV/atom
SG   P-4m2 (115)

=====

5.
Material: Nb2InGe2
Method: DFT, PBE-GGA
State: optimized geometry

POSCAR file:
```
Nb2InGe2
1.0
7.378 0.000 0.000
0.000 7.378 0.000
0.000 0.000 3.455
Nb Ge In
4 4 2
direct
0.358 0.858 0.000 Nb
0.642 0.142 0.000 Nb
0.858 0.642 0.000 Nb
0.142 0.358 0.000 Nb
0.850 0.350 0.500 Ge
0.350 0.150 0.500 Ge
0.150 0.650 0.500 Ge
0.650 0.850 0.500 Ge
0.000 0.000 0.000 In
0.500 0.500 0.000 In
```

Relative energy among the computed polymorphs   0.0000 eV/atom
SG   P4/mbm (127)

=====

6.
Material: NbIn2Ge2
Method: DFT, PBE-GGA
State: optimized geometry

POSCAR file:
```
NbIn2Ge2
1.0
-1.221 1.823 -3.178
-3.312 0.883 1.779
0.808 7.808 1.822
Ge In Nb
2 2 1
direct
0.418 0.418 0.165 Ge
0.582 0.582 0.835 Ge
0.250 0.750 0.500 In
0.750 0.250 0.500 In
0.000 0.000 0.000 Nb
```

Relative energy among the computed polymorphs   0.3090 eV/atom
SG   I4/mmm (139)

=====

7.
Material: NbIn2Ge2
Method: DFT, PBE-GGA
State: optimized geometry

POSCAR file:
```
NbIn2Ge2
1.0
3.467 0.000 0.000
0.000 3.467 0.000
1.734 1.734 9.257
Ge Nb In
2 1 2
direct
0.750 0.250 0.500 Ge
0.250 0.750 0.500 Ge
0.000 0.000 0.000 Nb
0.599 0.599 0.803 In
0.401 0.401 0.197 In
```

Relative energy among the computed polymorphs   0.2623 eV/atom
SG   I4/mmm (139)

=====

8.
Material: NbIn3Ge
Method: DFT, PBE-GGA
State: optimized geometry

POSCAR file:
```
NbIn3Ge
1.0
-0.720 0.063 -5.197
-1.114 -5.127 0.092
-5.077 1.116 0.717
In Ge Nb
3 1 1
direct
0.000 0.500 0.000 In
0.500 0.000 0.000 In
0.000 0.000 0.500 In
0.000 0.000 0.000 Ge
0.500 0.500 0.500 Nb
```

Relative energy among the computed polymorphs   0.2478 eV/atom
SG   Pm-3m (221)

=====

9.
Material: Nb2InGe2
Method: DFT, PBE-GGA
State: optimized geometry

POSCAR file:
```
Nb2InGe2
1.0
-4.614 -4.098 -3.910
4.575 -5.670 0.544
-1.563 -0.985 2.877
Ge Nb In
4 4 2
direct
0.141 0.359 0.000 Ge
0.859 0.641 0.000 Ge
0.641 0.141 0.000 Ge
0.359 0.859 0.000 Ge
0.852 0.352 0.500 Nb
0.352 0.148 0.500 Nb
0.148 0.648 0.500 Nb
0.648 0.852 0.500 Nb
0.000 0.000 0.000 In
0.500 0.500 0.000 In
```

Relative energy among the computed polymorphs   0.0643 eV/atom
SG   P4/mbm (127)

=====

10.
Material: Nb12In3Ge
Method: DFT, PBE-GGA
State: optimized geometry

POSCAR file:
```
Nb12In3Ge
1.0
5.305 0.000 0.000
0.000 5.312 0.000
0.000 0.000 10.573
Nb Ge In
12 1 3
direct
0.500 0.000 0.379 Nb
0.000 0.246 0.741 Nb
0.500 0.000 0.874 Nb
0.000 0.246 0.259 Nb
0.500 0.000 0.621 Nb
0.000 0.754 0.259 Nb
0.758 0.500 0.500 Nb
0.749 0.500 0.000 Nb
0.242 0.500 0.500 Nb
0.500 0.000 0.126 Nb
0.000 0.754 0.741 Nb
0.251 0.500 0.000 Nb
0.000 0.000 0.500 Ge
0.000 0.000 0.000 In
0.500 0.500 0.250 In
0.500 0.500 0.750 In
```

Energy   -8.417 eV/atom
SG   Pmmm (47)

=====

11.
Material: NbIn2Ge2
Method: DFT, PBE-GGA
State: optimized geometry

POSCAR file:
```
NbIn2Ge2
1.0
-5.677 -4.045 2.899
-1.615 -2.662 -6.877
2.334 -2.871 0.564
In Nb Ge
4 2 4
direct
0.638 0.138 0.000 In
0.138 0.362 0.000 In
0.862 0.638 0.000 In
0.362 0.862 0.000 In
0.500 0.500 0.000 Nb
0.000 0.000 0.000 Nb
0.832 0.332 0.500 Ge
0.168 0.668 0.500 Ge
0.332 0.168 0.500 Ge
0.668 0.832 0.500 Ge
```

Relative energy among the computed polymorphs   0.3171 eV/atom
SG   P4/mbm (127)

=====

12.
Material: NbIn3Ge
Method: DFT, PBE-GGA
State: optimized geometry

POSCAR file:
```
NbIn3Ge
1.0
-0.045 -5.373 0.421
0.810 -0.423 -5.311
5.328 0.019 0.811
Ge In Nb
1 3 1
direct
0.500 0.500 0.500 Ge
0.000 0.000 0.500 In
0.000 0.500 0.000 In
0.500 0.000 0.000 In
0.000 0.000 0.000 Nb
```

Relative energy among the computed polymorphs   0.0000 eV/atom
SG   Pm-3m (221)

=====

13.
Material: NbIn2Ge2
Method: DFT, PBE-GGA
State: optimized geometry

POSCAR file:
```
NbIn2Ge2
1.0
7.082 0.000 0.000
0.000 7.082 0.000
0.000 0.000 4.088
Ge In Nb
4 4 2
direct
0.861 0.639 0.000 Ge
0.639 0.139 0.000 Ge
0.139 0.361 0.000 Ge
0.361 0.861 0.000 Ge
0.830 0.330 0.500 In
0.670 0.830 0.500 In
0.170 0.670 0.500 In
0.330 0.170 0.500 In
0.000 0.000 0.000 Nb
0.500 0.500 0.000 Nb
```

Relative energy among the computed polymorphs   0.0000 eV/atom
SG   P4/mbm (127)

=====

14.
Material: NbInGeO6
Method: DFT, PBE-GGA
State: optimized geometry

POSCAR file:
```
NbInGeO6
1.0
4.761 0.000 0.000
0.000 4.761 0.000
0.000 0.000 9.331
O Nb In Ge
12 2 2 2
direct
0.698 0.698 0.982 O
0.179 0.821 0.173 O
0.302 0.302 0.982 O
0.213 0.787 0.848 O
0.287 0.287 0.348 O
0.713 0.713 0.348 O
0.321 0.321 0.673 O
0.198 0.802 0.482 O
0.821 0.179 0.173 O
0.679 0.679 0.673 O
0.787 0.213 0.848 O
0.802 0.198 0.482 O
0.000 0.000 0.994 Nb
0.500 0.500 0.494 Nb
0.500 0.500 0.164 In
0.000 0.000 0.664 In
0.500 0.500 0.834 Ge
0.000 0.000 0.334 Ge
```

Formation energy from raw total energies   -1.92 eV per atom
SG   P4_2nm (102)

=====

15.
Material: NbInGe2Pd
Method: DFT, PBE-GGA
State: optimized geometry

POSCAR file:
```
NbInGe2Pd
1.0
5.019 0.000 0.000
0.000 5.295 0.000
0.000 0.000 5.019
Ge Nb Pd In
2 1 1 1
direct
0.500 0.000 0.000 Ge
0.000 0.000 0.500 Ge
0.000 0.500 0.000 Nb
0.500 0.500 0.500 Pd
0.000 0.000 0.000 In
```

Energy   -3.953 eV/atom
SG   P4/mmm (123)

=====

16.
Material: NbIn2GePd
Method: DFT, PBE-GGA
State: optimized geometry

POSCAR file:
```
NbIn2GePd
1.0
-2.739 -1.054 -4.210
3.859 -1.590 -2.113
-0.954 -4.710 1.800
Ge Nb In Pd
1 1 2 1
direct
0.000 0.500 0.000 Ge
0.500 0.500 0.500 Nb
0.500 0.000 0.000 In
0.000 0.000 0.500 In
0.000 0.000 0.000 Pd
```

Energy   -4.392 eV/atom
SG   P4/mmm (123)

=====

17.
Material: NbIn2ReGe
Method: DFT, PBE-GGA
State: optimized geometry

POSCAR file:
```
NbIn2ReGe
1.0
-1.614 2.918 -3.752
-4.295 -1.346 0.801
-0.593 3.808 3.217
Ge In Re Nb
1 2 1 1
direct
0.000 0.000 0.000 Ge
0.500 0.000 0.000 In
0.000 0.000 0.500 In
0.000 0.500 0.000 Re
0.500 0.500 0.500 Nb
```

Energy   -5.088 eV/atom
SG   P4/mmm (123)

=====

18.
Material: Nb2InGeRh
Method: DFT, PBE-GGA
State: optimized geometry

POSCAR file:
```
Nb2InGeRh
1.0
-4.730 -0.720 0.356
0.428 -0.592 4.492
-0.664 4.702 0.683
Rh In Nb Ge
1 1 2 1
direct
0.000 0.500 0.000 Rh
0.500 0.500 0.500 In
0.000 0.000 0.500 Nb
0.500 0.000 0.000 Nb
0.000 0.000 0.000 Ge
```

Energy   -6.413 eV/atom
SG   P4/mmm (123)

=====

19.
Material: NbInSiGe2
Method: DFT, PBE-GGA
State: optimized geometry

POSCAR file:
```
NbInSiGe2
1.0
-4.419 1.503 -0.881
0.659 -0.875 -4.800
-1.622 -4.427 0.584
Ge In Si Nb
2 1 1 1
direct
0.000 0.000 0.500 Ge
0.500 0.000 0.000 Ge
0.500 0.500 0.500 In
0.000 0.000 0.000 Si
0.000 0.500 0.000 Nb
```

Formation energy from raw total energies   0.68 eV per atom
SG   P4/mmm (123)

=====

20.
Material: SrNbIn2Ge
Method: DFT, PBE-GGA
State: optimized geometry

POSCAR file:
```
SrNbIn2Ge
1.0
5.835 0.000 0.000
0.000 5.176 0.000
0.000 0.000 5.835
Nb In Ge Sr
1 2 1 1
direct
0.000 0.500 0.000 Nb
0.000 0.000 0.500 In
0.500 0.000 0.000 In
0.500 0.500 0.500 Ge
0.000 0.000 0.000 Sr
```

Energy   -2.640 eV/atom
SG   P4/mmm (123)

=====

21.
Material: Nb2InTcGe
Method: DFT, PBE-GGA
State: optimized geometry

POSCAR file:
```
Nb2InTcGe
1.0
-2.978 3.868 -1.156
-3.407 -3.072 -1.501
-1.939 -0.111 4.626
Tc Nb In Ge
1 2 1 1
direct
0.000 0.500 0.000 Tc
0.500 0.000 0.000 Nb
0.000 0.000 0.500 Nb
0.000 0.000 0.000 In
0.500 0.500 0.500 Ge
```

Energy   -5.595 eV/atom
SG   P4/mmm (123)

=====

22.
Material: NbTlIn2Ge
Method: DFT, PBE-GGA
State: optimized geometry

POSCAR file:
```
NbTlIn2Ge
1.0
-0.051 4.421 2.818
-4.194 -1.878 2.870
3.318 -2.154 3.440
In Ge Nb Tl
2 1 1 1
direct
0.500 0.000 0.000 In
0.000 0.000 0.500 In
0.000 0.000 0.000 Ge
0.500 0.500 0.500 Nb
0.000 0.500 0.000 Tl
```

Energy   -3.419 eV/atom
SG   P4/mmm (123)

=====

23.
Material: Nd4In5Ge2
Method: DFT, PBE-GGA
State: optimized geometry

POSCAR file:
```
Nd4In5Ge2
1.0
-0.565 -0.262 -4.271
-2.517 -7.284 0.780
-8.226 3.473 0.876
Nd In Ge
4 5 2
direct
0.500 0.230 0.413 Nd
0.500 0.794 0.142 Nd
0.500 0.770 0.587 Nd
0.500 0.206 0.858 Nd
0.000 0.140 0.132 In
0.000 0.457 0.663 In
0.000 0.860 0.868 In
0.000 0.543 0.337 In
0.000 0.500 0.000 In
0.000 0.917 0.373 Ge
0.000 0.083 0.627 Ge
```

Energy   -4.361 eV/atom
SG   P2/m (10)

=====

24.
Material: NdInGe
Method: DFT, PBE-GGA
State: optimized geometry

POSCAR file:
```
NdInGe
1.0
3.714 -0.185 0.000
-0.684 3.655 0.000
-1.515 -1.735 5.770
Ge In Nd
1 1 1
direct
0.323 0.323 0.647 Ge
0.688 0.688 0.377 In
0.988 0.988 0.976 Nd
```

Energy   -4.407 eV/atom
SG   Fmm2 (42)

=====

25.
Material: Nd8In3Ge2
Method: DFT, PBE-GGA
State: optimized geometry

POSCAR file:
```
Nd8In3Ge2
1.0
5.507 0.000 0.808
0.000 8.997 0.000
-1.160 -4.499 7.902
Nd In Ge
8 3 2
direct
0.000 0.108 0.215 Nd
0.000 0.892 0.785 Nd
0.500 0.410 0.253 Nd
0.500 0.590 0.747 Nd
0.500 0.158 0.747 Nd
0.500 0.842 0.253 Nd
0.000 0.693 0.386 Nd
0.000 0.307 0.614 Nd
0.000 0.672 0.000 In
0.500 0.000 0.000 In
0.000 0.328 0.000 In
0.500 0.227 0.455 Ge
0.500 0.773 0.545 Ge
```

Energy   -4.646 eV/atom
SG   Cmmm (65)